# 1
A plane-wave DFT calculation with PBE-GGA was carried out for a geometry-optimized SbPPb2 structure.

Calculated values
The calculation puts the energy above the most stable polymorph in this dataset at 212 meV/atom. For the raw formation energy, the calculation gives 0.329 eV per atom.

a b c (Å): 4.484 4.484 10.807
angles (deg): 90.00 90.00 90.00
Space group I-4m2 (No. 119)
Symmetry-distinct sites (fractional):
Sb: 0.000 0.000 0.000 x2
P: 0.000 0.500 0.750 x2
Pb: 0.000 0.000 0.500 x2
Pb: 0.000 0.500 0.250 x2

# 2
A plane-wave DFT calculation with PBE-GGA was carried out for a geometry-optimized ReBOs3 structure.

Calculated values
The calculation puts the energy above the most stable polymorph in this dataset at 0 meV/atom. As for the formation energy: 189 kJ/mol of formula units.

a b c (Å): 4.064 4.064 4.064
angles (deg): 90.00 90.00 90.00
Space group Pm-3m (No. 221)
Symmetry-distinct sites (fractional):
Re: 0.000 0.000 0.000 x1
B: 0.500 0.500 0.500 x1
Os: 0.000 0.500 0.500 x3

# 3
A plane-wave DFT calculation with PBE-GGA was carried out for a geometry-optimized Cu3SnRu structure.

Calculated values
The calculation puts the energy above the most stable polymorph in this dataset at 0 meV/atom. As for the formation energy: 491 kJ/mol of formula units.

a b c (Å): 4.644 4.644 4.644
angles (deg): 90.00 90.00 90.00
Space group Pm-3m (No. 221)
Symmetry-distinct sites (fractional):
Cu: 0.000 0.000 0.500 x3
Sn: 0.500 0.500 0.500 x1
Ru: 0.000 0.000 0.000 x1

# 4
A plane-wave DFT calculation with PBE-GGA was carried out for a geometry-optimized NaTbMgTl structure.

Calculated values
As for the formation energy: -33 kJ/mol of formula units.

a b c (Å): 7.522 7.522 7.522
angles (deg): 90.00 90.00 90.00
Space group F-43m (No. 216)
Symmetry-distinct sites (fractional):
Na: 0.000 0.000 0.000 x4
Tb: 0.000 0.000 0.500 x4
Mg: 0.250 0.250 0.750 x4
Tl: 0.250 0.250 0.250 x4

# 5
A plane-wave DFT calculation with PBE-GGA was carried out for a geometry-optimized Ti5WC6 structure.

Calculated values
As for the formation energy: -834 kJ/mol of formula units.

a b c (Å): 5.313 9.205 5.314
angles (deg): 90.00 109.55 90.00
Space group C2/m (No. 12)
Symmetry-distinct sites (fractional):
Ti: 0.000 0.000 0.000 x2
Ti: 0.000 0.167 0.500 x4
Ti: 0.000 0.332 0.000 x4
W: 0.000 0.500 0.500 x2
C: 0.249 0.333 0.749 x8
C: 0.249 0.500 0.250 x4

# 6
A plane-wave DFT calculation with PBE-GGA was carried out for a geometry-optimized ThPI structure.

Calculated values
The calculation puts the energy above the most stable polymorph in this dataset at 346 meV/atom. For the raw formation energy, the calculation gives -0.915 eV per atom.

a b c (Å): 3.850 3.850 11.499
angles (deg): 90.00 90.00 90.00
Space group I4mm (No. 107)
Symmetry-distinct sites (fractional):
Th: 0.000 0.000 0.000 x2
P: 0.000 0.000 0.584 x2
I: 0.000 0.000 0.301 x2

# 7
A plane-wave DFT calculation with PBE-GGA was carried out for a geometry-optimized TlCuAuSe2 structure.

Calculated values
For the raw formation energy, the calculation gives -0.171 eV per atom.

a b c (Å): 6.737 5.390 7.063
angles (deg): 90.00 99.75 90.00
Space group P2/c (No. 13)
Symmetry-distinct sites (fractional):
Tl: 0.000 0.121 0.250 x2
Cu: 0.500 0.471 0.250 x2
Au: 0.500 0.000 0.000 x2
Se: 0.267 0.354 0.962 x4

# 8
A plane-wave DFT calculation with PBE-GGA was carried out for a geometry-optimized InCuOs2 structure.

Calculated values
As for the formation energy: 250 kJ/mol of formula units.

a b c (Å): 3.098 3.098 6.372
angles (deg): 90.00 90.00 90.00
Space group P4/mmm (No. 123)
Symmetry-distinct sites (fractional):
In: 0.000 0.000 0.000 x1
Cu: 0.000 0.000 0.500 x1
Os: 0.500 0.500 0.291 x2

# 9
A plane-wave DFT calculation with PBE-GGA was carried out for a geometry-optimized La2HfScH structure.

Calculated values
The calculation puts the energy above the most stable polymorph in this dataset at 0 meV/atom.

a b c (Å): 5.030 5.030 4.659
angles (deg): 90.00 90.00 90.00
Space group P4/mmm (No. 123)
Symmetry-distinct sites (fractional):
La: 0.000 0.500 0.000 x2
Hf: 0.000 0.000 0.500 x1
Sc: 0.500 0.500 0.500 x1
H: 0.500 0.500 0.000 x1

# 10
A plane-wave DFT calculation with PBE-GGA was carried out for a geometry-optimized BaPm2VN4 structure.

Calculated values
For the raw formation energy, the calculation gives -1.190 eV per atom.

a b c (Å): 3.537 12.626 12.110
angles (deg): 90.00 90.00 90.00
Space group Cmcm (No. 63)
Symmetry-distinct sites (fractional):
Ba: 0.000 0.088 0.250 x4
Pm: 0.000 0.370 0.041 x8
V: 0.000 0.179 0.750 x4
N: 0.000 0.000 0.000 x4
N: 0.000 0.257 0.626 x8
N: 0.000 0.394 0.250 x4

# 11
A plane-wave DFT calculation with PBE-GGA was carried out for a geometry-optimized CdInSb2Pd structure.

Calculated values
For the raw formation energy, the calculation gives 0.896 eV per atom.

a b c (Å): 5.593 5.593 5.245
angles (deg): 90.00 90.00 90.00
Space group P4/mmm (No. 123)
Symmetry-distinct sites (fractional):
Cd: 0.000 0.000 0.000 x1
In: 0.000 0.000 0.500 x1
Sb: 0.000 0.500 0.500 x2
Pd: 0.500 0.500 0.000 x1

# 12
A plane-wave DFT calculation with PBE-GGA was carried out for a geometry-optimized DyAg2GeTe4 structure.

Calculated values
For the raw formation energy, the calculation gives -0.408 eV per atom.

a b c (Å): 7.204 4.308 7.573
angles (deg): 90.00 109.52 90.00
Space group P2/m (No. 10)
Symmetry-distinct sites (fractional):
Dy: 0.000 0.000 0.000 x1
Ag: 0.500 0.000 0.500 x1
Ag: 0.500 0.500 0.000 x1
Ge: 0.000 0.500 0.500 x1
Te: 0.252 0.000 0.741 x2
Te: 0.252 0.500 0.259 x2

Please write out number 6 again, unchanged.
A plane-wave DFT calculation with PBE-GGA was carried out for a geometry-optimized ThPI structure.

Calculated values
The calculation puts the energy above the most stable polymorph in this dataset at 346 meV/atom. For the raw formation energy, the calculation gives -0.915 eV per atom.

a b c (Å): 3.850 3.850 11.499
angles (deg): 90.00 90.00 90.00
Space group I4mm (No. 107)
Symmetry-distinct sites (fractional):
Th: 0.000 0.000 0.000 x2
P: 0.000 0.000 0.584 x2
I: 0.000 0.000 0.301 x2